A relaxed KNp2CoO8 crystal, computed with PBE+U.

Calculated values
Crystal system: triclinic
Calculated total energy in eV per atom: -8.1994
Total magnetic moment in μB per formula unit: 4.00

Lattice parameters (Å, degrees): 5.064 5.062 7.053 87.69 87.70 84.32
Each line ends with the local moment (μB).
Positions (direct):
1 K 0.000 0.000 0.500  0.00
2 Np 0.494 0.494 0.760  0.72
3 Np 0.506 0.506 0.240  0.72
4 Co 0.000 0.000 0.000  2.71
5 O 0.214 0.778 0.209  -0.01
6 O 0.677 0.679 0.013  -0.03
7 O 0.779 0.215 0.209  -0.01
8 O 0.786 0.222 0.791  -0.01
9 O 0.323 0.321 0.987  -0.03
10 O 0.221 0.785 0.791  -0.01
11 O 0.658 0.660 0.533  -0.04
12 O 0.342 0.340 0.467  -0.04